No. 1
Computed, not measured: Li3Ho3AlS8 after structural relaxation at the PBE level of DFT.

```
data_Li3Ho3AlS8
_cell_length_a 7.6781
_cell_length_b 7.6781
_cell_length_c 18.2015
_cell_angle_alpha 90.00
_cell_angle_beta 90.00
_cell_angle_gamma 120.00
_space_group_name_H-M_alt 'R -3 m'
_space_group_IT_number 166
_space_group_name_Hall '-R 3 2"'
loop_
_atom_site_label
_atom_site_type_symbol
_atom_site_fract_x
_atom_site_fract_y
_atom_site_fract_z
Li1 Li 0.0000 0.5000 0.0000
Ho1 Ho 0.0000 0.5000 0.5000
Al1 Al 0.0000 0.0000 0.5000
S1 S 0.0000 0.0000 0.2513
S2 S 0.0287 0.5144 0.2450
```

The uncorrected energy comes out at -5.3178 eV/atom. The calculation puts the uncorrected formation energy at -1569 meV/atom. Its calculated density is 4.28 g cm⁻³. The value obtained for the density of states at the Fermi level is 0.58 states/eV/atom.

***

No. 2
Computed, not measured: ScZnN after structural relaxation at the PBE level of DFT.

```
data_ScZnN
_cell_length_a 10.741
_cell_length_b 3.046
_cell_length_c 5.445
_cell_angle_alpha 90.00
_cell_angle_beta 106.74
_cell_angle_gamma 90.00
_space_group_name_H-M_alt 'C 1 2/m 1'
_space_group_IT_number 12
_space_group_name_Hall '-C 2y'
loop_
_atom_site_label
_atom_site_type_symbol
_atom_site_fract_x
_atom_site_fract_y
_atom_site_fract_z
Sc1 Sc 0.076 0.000 0.292
Zn1 Zn 0.167 0.500 0.846
N1 N 0.000 0.500 0.000
N2 N 0.000 0.500 0.500
```

The uncorrected energy comes out at -6.1407 eV/atom. The calculation puts the uncorrected formation energy at -830 meV/atom. Its calculated density is 4.84 g cm⁻³. Its energy above the lowest structure with this stoichiometry is 0.310 eV/atom. The value obtained for the density of states at the Fermi level is 0.21 states/eV/atom.

***

No. 3
Computed, not measured: Ca2MgAgN after structural relaxation at the PBE level of DFT.

```
data_Ca2MgAgN
_cell_length_a 4.940
_cell_length_b 4.940
_cell_length_c 4.276
_cell_angle_alpha 90.00
_cell_angle_beta 90.00
_cell_angle_gamma 90.00
_space_group_name_H-M_alt 'P 4/m m m'
_space_group_IT_number 123
_space_group_name_Hall '-P 4 2'
loop_
_atom_site_label
_atom_site_type_symbol
_atom_site_fract_x
_atom_site_fract_y
_atom_site_fract_z
Ca1 Ca 0.000 0.500 0.000
Mg1 Mg 0.000 0.000 0.500
Ag1 Ag 0.500 0.500 0.500
N1 N 0.000 0.000 0.000
```

The uncorrected energy comes out at -3.8551 eV/atom. The calculation puts the uncorrected formation energy at -500 meV/atom. Its calculated density is 3.60 g cm⁻³. Its energy above the lowest structure with this stoichiometry is 0.000 eV/atom. The value obtained for the density of states at the Fermi level is 0.65 states/eV/atom.

***

No. 4
Computed, not measured: ReSiAs4 after structural relaxation at the PBE level of DFT.

```
data_ReSiAs4
_cell_length_a 7.637
_cell_length_b 7.637
_cell_length_c 7.637
_cell_angle_alpha 90.00
_cell_angle_beta 90.00
_cell_angle_gamma 90.00
_space_group_name_H-M_alt 'F -4 3 m'
_space_group_IT_number 216
_space_group_name_Hall 'F -4 2 3'
loop_
_atom_site_label
_atom_site_type_symbol
_atom_site_fract_x
_atom_site_fract_y
_atom_site_fract_z
Re1 Re 0.000 0.000 0.000
Si1 Si 0.250 0.250 0.750
As1 As 0.125 0.125 0.375
```

The uncorrected energy comes out at -4.9360 eV/atom. The calculation puts the uncorrected formation energy at 1142 meV/atom. Its calculated density is 7.66 g cm⁻³. The value obtained for the density of states at the Fermi level is 0.89 states/eV/atom.

***

No. 5
Computed, not measured: LaScAs2 after structural relaxation at the PBE level of DFT.

```
data_LaScAs2
_cell_length_a 4.0725
_cell_length_b 4.0725
_cell_length_c 21.0074
_cell_angle_alpha 90.00
_cell_angle_beta 90.00
_cell_angle_gamma 120.00
_space_group_name_H-M_alt 'R 3 m'
_space_group_IT_number 160
_space_group_name_Hall 'R 3 -2"'
loop_
_atom_site_label
_atom_site_type_symbol
_atom_site_fract_x
_atom_site_fract_y
_atom_site_fract_z
La1 La 0.0000 0.0000 0.0000
Sc1 Sc 0.0000 0.0000 0.1715
As1 As 0.0000 0.0000 0.5760
As2 As 0.0000 0.0000 0.7631
```

The uncorrected energy comes out at -6.4655 eV/atom. Its calculated density is 5.51 g cm⁻³. The value obtained for the energy relative to the elements is -1.326 eV per atom. Its energy above the lowest structure with this stoichiometry is 0.104 eV/atom. The value obtained for the density of states at the Fermi level is 0.09 states/eV/atom.

***

No. 6
Computed, not measured: Tm6TePb2 after structural relaxation at the PBE level of DFT.

```
data_Tm6TePb2
_cell_length_a 8.3784
_cell_length_b 8.3784
_cell_length_c 4.1275
_cell_angle_alpha 90.00
_cell_angle_beta 90.00
_cell_angle_gamma 120.00
_space_group_name_H-M_alt 'P -6 2 m'
_space_group_IT_number 189
_space_group_name_Hall 'P -6 -2'
loop_
_atom_site_label
_atom_site_type_symbol
_atom_site_fract_x
_atom_site_fract_y
_atom_site_fract_z
Tm1 Tm 0.0000 0.3940 0.0000
Tm2 Tm 0.0000 0.7314 0.5000
Te1 Te 0.0000 0.0000 0.0000
Pb1 Pb 0.3333 0.6667 0.5000
```

The uncorrected energy comes out at -4.6340 eV/atom. The calculation puts the uncorrected formation energy at -480 meV/atom. Its calculated density is 10.29 g cm⁻³. The value obtained for the density of states at the Fermi level is 1.41 states/eV/atom.

***

No. 7
Computed, not measured: KPuBeF6 after structural relaxation at the PBE level of DFT.

```
data_KPuBeF6
_cell_length_a 5.5505
_cell_length_b 5.5505
_cell_length_c 5.5833
_cell_angle_alpha 90.00
_cell_angle_beta 90.00
_cell_angle_gamma 120.00
_space_group_name_H-M_alt 'P 3 1 2'
_space_group_IT_number 149
_space_group_name_Hall 'P 3 2'
loop_
_atom_site_label
_atom_site_type_symbol
_atom_site_fract_x
_atom_site_fract_y
_atom_site_fract_z
K1 K 0.0000 0.0000 0.0000
Pu1 Pu 0.3333 0.6667 0.5000
Be1 Be 0.6667 0.3333 0.5000
F1 F 0.4054 0.0643 0.6867
```

The uncorrected energy comes out at -6.5348 eV/atom. The calculation puts the uncorrected formation energy at -3159 meV/atom. Its calculated density is 4.53 g cm⁻³. The value obtained for the density of states at the Fermi level is 0.73 states/eV/atom.

***

No. 8
Computed, not measured: La4InAu3 after structural relaxation at the PBE level of DFT.

```
data_La4InAu3
_cell_length_a 4.033
_cell_length_b 4.894
_cell_length_c 11.762
_cell_angle_alpha 90.00
_cell_angle_beta 90.00
_cell_angle_gamma 90.00
_space_group_name_H-M_alt 'P m m 2'
_space_group_IT_number 25
_space_group_name_Hall 'P 2 -2'
loop_
_atom_site_label
_atom_site_type_symbol
_atom_site_fract_x
_atom_site_fract_y
_atom_site_fract_z
La1 La 0.000 0.000 0.000
La2 La 0.000 0.500 0.264
La3 La 0.500 0.000 0.482
La4 La 0.500 0.500 0.776
In1 In 0.000 0.000 0.708
Au1 Au 0.000 0.500 0.542
Au2 Au 0.500 0.000 0.215
Au3 Au 0.500 0.500 0.047
```

The uncorrected energy comes out at -4.7403 eV/atom. Its calculated density is 9.02 g cm⁻³. The value obtained for the energy relative to the elements is -0.705 eV per atom. The value obtained for the density of states at the Fermi level is 1.00 states/eV/atom.

***

No. 9
Computed, not measured: TbHoB12 after structural relaxation at the PBE level of DFT.

```
data_TbHoB12
_cell_length_a 4.094
_cell_length_b 4.094
_cell_length_c 8.193
_cell_angle_alpha 90.00
_cell_angle_beta 90.00
_cell_angle_gamma 90.00
_space_group_name_H-M_alt 'P 4/m m m'
_space_group_IT_number 123
_space_group_name_Hall '-P 4 2'
loop_
_atom_site_label
_atom_site_type_symbol
_atom_site_fract_x
_atom_site_fract_y
_atom_site_fract_z
Tb1 Tb 0.000 0.000 0.000
Ho1 Ho 0.000 0.000 0.500
B1 B 0.199 0.500 0.250
B2 B 0.500 0.500 0.100
B3 B 0.500 0.500 0.401
```

The uncorrected energy comes out at -6.7810 eV/atom. Its calculated density is 5.49 g cm⁻³. The value obtained for the energy relative to the elements is -0.400 eV per atom. The value obtained for the density of states at the Fermi level is 0.11 states/eV/atom.

***

No. 10
Computed, not measured: TbNdInGa after structural relaxation at the PBE level of DFT.

```
data_TbNdInGa
_cell_length_a 7.483
_cell_length_b 7.483
_cell_length_c 7.483
_cell_angle_alpha 90.00
_cell_angle_beta 90.00
_cell_angle_gamma 90.00
_space_group_name_H-M_alt 'F -4 3 m'
_space_group_IT_number 216
_space_group_name_Hall 'F -4 2 3'
loop_
_atom_site_label
_atom_site_type_symbol
_atom_site_fract_x
_atom_site_fract_y
_atom_site_fract_z
Tb1 Tb 0.000 0.000 0.000
Nd1 Nd 0.000 0.000 0.500
In1 In 0.250 0.250 0.250
Ga1 Ga 0.250 0.250 0.750
```

The uncorrected energy comes out at -4.2927 eV/atom. Its calculated density is 7.73 g cm⁻³. The value obtained for the energy relative to the elements is -0.502 eV per atom. Its energy above the lowest structure with this stoichiometry is 0.024 eV/atom. The value obtained for the density of states at the Fermi level is 0.36 states/eV/atom.